{
  "formula": "AgHgP2",
  "functional": "PBE",
  "state": "optimized geometry",
  "formation_enthalpy_0k_ev_per_fu": 1.4,
  "total_magnetization_mub_per_cell": 0.00,
  "space_group": "No. 122",
  "lattice_angstrom": [[3.953, 0.000, 0.000], [0.000, 3.953, 0.000], [1.977, 1.977, 10.170]],
  "species": ["P", "P", "P", "P", "Hg", "Hg", "Ag", "Ag"],
  "frac_coords": [[0.543, 0.125, 0.250], [0.207, 0.625, 0.250], [0.375, 0.457, 0.750], [0.875, 0.793, 0.750], [0.000, 0.000, 0.000], [0.750, 0.250, 0.500], [0.500, 0.500, 0.000], [0.250, 0.750, 0.500]]
}